Here is a relaxed Zr2AgHg2 crystal from the Alexandria database. Energies are from PBE-GGA.

Summary:
M_tot: 0.000 μB/atom
Formation energy: 0.168 eV per atom
Uncorrected energy: -3.942 eV/atom

Cell lengths 8.7514, 8.7514, 2.9997 Å; angles 90.00, 90.00, 90.00 degrees
Last column: nearest neighbours and their distance in Å.
Space group P4/mbm (No. 127)
Asymmetric unit:
Zr1 0.1256 0.3744 0.0000 [4 per cell]  6 Hg 2.93-3.02, 3 Zr 3.00-3.11
Ag1 0.0000 0.0000 0.0000 [2 per cell]  2 Ag 3.00
Hg1 0.1708 0.6708 0.5000 [4 per cell]  6 Zr 2.93-3.02, 2 Hg 3.00